Entry 1:
Here is a geometry-optimized Ti2HgP structure from Alexandria via LeMat-Bulk. Energies are from PBE-GGA.

The structure in POSCAR format:
```
Ti2HgP
1.0
0.000 3.215 3.215
3.215 0.000 3.215
3.215 3.215 0.000
Ti Hg P
2 1 1
Direct
0.250 0.250 0.250
0.750 0.750 0.750
0.000 0.000 0.000
0.500 0.500 0.500
```

Values from the calculation:
M_tot	0.000	Bohr magnetons per cell
symmetry	Fm-3m
distance to the lowest polymorph of the same formula	74	meV/atom
formation enthalpy at 0 K	-175	meV per atom
theoretical density	8.18	g/cm3
DFT total energy	-5.550	eV per atom

Entry 2:
Here is a geometry-optimized TiHg2P structure from Alexandria via LeMat-Bulk. Energies are from PBE-GGA.

The structure in POSCAR format:
```
TiHg2P
1.0
4.833 0.000 0.000
-1.612 5.765 0.000
-1.560 -1.528 6.270
Ti Hg P
2 4 2
Direct
0.000 0.000 0.000
0.167 0.987 0.587
0.037 0.569 0.755
0.231 0.391 0.383
0.514 0.352 0.993
0.566 0.973 0.240
0.720 0.077 0.680
0.970 0.719 0.231
```

Values from the calculation:
M_tot	0.002	Bohr magnetons per cell
symmetry	P1
formation enthalpy at 0 K	-64	meV per atom
theoretical density	9.13	g/cm3
DFT total energy	-3.541	eV per atom

Entry 3:
Here is a geometry-optimized TiHg2P structure from Alexandria via LeMat-Bulk. Energies are from PBE-GGA.

The structure in POSCAR format:
```
TiHg2P
1.0
6.018 0.000 0.000
0.000 3.912 0.000
-2.427 0.000 6.888
Ti Hg P
2 4 2
Direct
0.000 0.000 0.000
0.225 0.000 0.688
0.531 0.000 0.130
0.615 0.500 0.847
0.694 0.000 0.564
0.921 0.500 0.350
0.126 0.500 0.854
0.217 0.000 0.346
```

Values from the calculation:
M_tot	0.000	Bohr magnetons per cell
symmetry	Pm
formation enthalpy at 0 K	-145	meV per atom
theoretical density	9.83	g/cm3
DFT total energy	-3.622	eV per atom

Entry 4:
Here is a geometry-optimized TiHg2P structure from Alexandria via LeMat-Bulk. Energies are from PBE-GGA.

The structure in POSCAR format:
```
TiHg2P
1.0
7.387 -1.582 0.000
7.387 1.582 0.000
-0.600 0.000 3.621
Ti Hg P
1 2 1
Direct
0.000 0.000 0.000
0.320 0.320 0.786
0.680 0.680 0.214
0.500 0.500 0.500
```

Values from the calculation:
M_tot	0.000	Bohr magnetons per cell
symmetry	C2/m
formation enthalpy at 0 K	-230	meV per atom
theoretical density	9.42	g/cm3
DFT total energy	-3.708	eV per atom

Question: Among the records above, which one has the lowest formation enthalpy at 0 K?
Answer: number 4